DFT (PBE) results for a geometry-optimized LaAg2P2 structure.

extended XYZ file:
```
5
Lattice="-2.367 2.367 4.643 2.367 -2.367 4.643 2.367 2.367 -4.643" Properties=species:S:1:pos:R:3 pbc="T T T"
La 0.000 0.000 0.000
Ag 0.000 0.000 3.283
Ag 0.000 0.000 6.003
P 2.367 0.000 2.322
P 0.000 2.367 2.322
```

Values from the calculation:
The value obtained for the energy above the most stable polymorph in this dataset is 200.1 meV per atom. As for the total magnetization: 0.00 μB/cell. The value obtained for the energy of formation from the pure elements is -0.351 eV per atom. The symmetry is I4/mmm, No. 139. For the density of states at the Fermi level, the calculation gives 1.888 states/eV per cell.